No. 1
DFT (PBE) results for RbBe2Ag after structural relaxation.

- Symmetry: No. 141
- Energy of formation: 666 meV/atom
- Energy: -8.6 eV/f.u.
- Energy relative to the lowest polymorph listed for this composition: 0.000 eV/atom
- Total moment: 0.000 μB per atom

Cell: 4.8794 4.8794 8.9412 Å, 74.17 74.17 90.00°
Fractional positions:
Be1 0.8750 0.1250 0.2500
Rb1 0.5000 0.5000 0.0000
Be2 0.3750 0.1250 0.7500
Rb2 0.2500 0.7500 0.5000
Ag1 0.0000 0.0000 0.0000
Be3 0.8750 0.1250 0.7500
Be4 0.8750 0.6250 0.2500
Ag2 0.7500 0.2500 0.5000

---

No. 2
DFT (PBE) results for CrP2I after structural relaxation.

- Raw formation energy: 455 meV per atom
- Symmetry: No. 122
- Energy: -20.2 eV/f.u.
- Energy relative to the lowest polymorph listed for this composition: 0.000 eV/atom
- Total moment: 0.241 μB per atom

Cell: 6.1055 6.1055 6.9257 Å, 63.85 63.85 90.00°
Last column: magnetic moment on the atom in μB.
Fractional positions:
P1 0.5038 0.1250 0.2500  -0.09
P2 0.3750 0.4962 0.7500  -0.09
I1 0.0000 0.0000 0.0000  0.01
Cr1 0.5000 0.5000 0.0000  1.11
I2 0.7500 0.2500 0.5000  0.02
P3 0.8750 0.7538 0.7500  -0.09
Cr2 0.2500 0.7500 0.5000  1.11
P4 0.2462 0.6250 0.2500  -0.09

---

No. 3
DFT (PBE) results for LiDyCoGe2 after structural relaxation.

- Symmetry: No. 119
- Energy of formation: -526 meV/atom
- Energy: -25.5 eV/f.u.
- Total moment: 0.116 μB per atom

Cell: 4.0392 4.0392 5.8471 Å, 110.21 110.21 90.00°
Last column: magnetic moment on the atom in μB.
Fractional positions:
Ge1 0.6245 0.6245 0.2490  0.01
Dy1 0.0000 0.0000 0.0000  0.05
Co1 0.7500 0.2500 0.5000  0.48
Ge2 0.3755 0.3755 0.7510  0.01
Li1 0.2500 0.7500 0.5000  0.00

---

No. 4
DFT (PBE) results for LaGeN2 after structural relaxation.

- Raw formation energy: -353 meV per atom
- Symmetry: No. 166
- Energy: -27.6 eV/f.u.
- Total moment: 0.000 μB per atom

Cell: 6.3465 6.3465 6.3465 Å, 35.86 35.86 35.86°
Fractional positions:
N1 0.0999 0.0999 0.0999
Ge1 0.0000 0.0000 0.0000
La1 0.5000 0.5000 0.5000
N2 0.9001 0.9001 0.9001

---

No. 5
DFT (PBE) results for La6GaPd2 after structural relaxation.

- Symmetry: No. 71
- Energy of formation: -480 meV/atom
- Energy: -47.3 eV/f.u.
- Total moment: 0.000 μB per atom

Cell: 8.9066 8.9066 8.9066 Å, 106.05 109.07 113.38°
Fractional positions:
La1 0.1902 0.7565 0.9467
Ga1 0.0000 0.5000 0.5000
La2 0.4565 0.2815 0.1750
Pd1 0.5000 0.3670 0.8670
La3 0.1066 0.2815 0.8250
La4 0.5435 0.7185 0.8250
Pd2 0.3427 0.0000 0.3427
La5 0.8098 0.7565 0.5663
La6 0.7016 0.0330 0.3315
La7 0.7016 0.3701 0.6685
La8 0.8934 0.7185 0.1750
Ga2 0.0000 0.0000 0.0000
Pd3 0.6573 0.0000 0.6573
La9 0.1902 0.2435 0.4337
Pd4 0.5000 0.6330 0.1330
La10 0.2984 0.9670 0.6685
La11 0.8098 0.2435 0.0533
La12 0.2984 0.6299 0.3315

---

No. 6
DFT (PBE) results for Mg4VSb2 after structural relaxation.

- Raw formation energy: 482 meV per atom
- Symmetry: No. 139
- Energy: -20.4 eV/f.u.
- Total moment: 0.603 μB per atom

Cell: 5.1507 5.1507 8.2546 Å, 71.82 71.82 90.00°
Last column: magnetic moment on the atom in μB.
Fractional positions:
Sb1 0.3791 0.3791 0.2418  0.00
V1 0.0000 0.0000 0.0000  3.02
Sb2 0.6209 0.6209 0.7582  0.00
Mg1 0.0000 0.5000 0.0000  0.04
Mg2 0.5000 0.0000 0.0000  0.04
Mg3 0.8136 0.8136 0.3728  0.01
Mg4 0.1864 0.1864 0.6272  0.01

---

No. 7
DFT (PBE) results for CdRu after structural relaxation.

- Symmetry: No. 217
- Energy of formation: 1268 meV/atom
- Energy: -7.7 eV/f.u.
- Total moment: 0.331 μB per atom

Cell: 8.2625 8.2625 8.2625 Å, 90.00 90.00 90.00°
Last column: magnetic moment on the atom in μB.
Fractional positions:
Ru1 0.6063 0.3937 0.3937  0.64
Cd1 0.7061 0.7061 0.2939  -0.01
Ru2 0.3937 0.3937 0.6063  0.64
Cd2 0.7939 0.7939 0.7939  -0.01
Cd3 0.2061 0.2061 0.7939  -0.01
Ru3 0.3937 0.6063 0.3937  0.64
Cd4 0.2061 0.7939 0.2061  -0.01
Cd5 0.2939 0.7061 0.7061  -0.01
Ru4 0.8937 0.1063 0.8937  0.64
Ru5 0.8937 0.8937 0.1063  0.64
Cd6 0.7061 0.2939 0.7061  -0.01
Ru6 0.6063 0.6063 0.6063  0.64
Ru7 0.1063 0.8937 0.8937  0.64
Cd7 0.2939 0.2939 0.2939  -0.01
Ru8 0.1063 0.1063 0.1063  0.64
Cd8 0.7939 0.2061 0.2061  -0.01

---

No. 8
DFT (PBE) results for Li2CrSi2 after structural relaxation.

- Raw formation energy: 37 meV per atom
- Symmetry: No. 127
- Energy: -24.1 eV/f.u.
- Total moment: 0.663 μB per atom

Cell: 6.5427 6.5427 3.5363 Å, 90.00 90.00 90.00°
Last column: magnetic moment on the atom in μB.
Fractional positions:
Li1 0.8294 0.3294 0.5000  0.00
Li2 0.1706 0.6706 0.5000  0.00
Li3 0.6706 0.8294 0.5000  0.00
Si1 0.1291 0.3709 0.0000  -0.07
Si2 0.3709 0.8709 0.0000  -0.07
Cr1 0.0000 0.0000 0.0000  3.15
Si3 0.8709 0.6291 0.0000  -0.07
Si4 0.6291 0.1291 0.0000  -0.07
Li4 0.3294 0.1706 0.5000  0.00
Cr2 0.5000 0.5000 0.0000  3.15

---

No. 9
DFT (PBE) results for NdMgZrZn after structural relaxation.

- Symmetry: No. 216
- Energy of formation: -37 meV/atom
- Energy: -16.3 eV/f.u.
- Total moment: 0.000 μB per atom

Cell: 5.0818 5.0818 5.0818 Å, 60.00 60.00 60.00°
Fractional positions:
Nd1 0.2500 0.2500 0.2500
Zn1 0.0000 0.0000 0.0000
Mg1 0.5000 0.5000 0.5000
Zr1 0.7500 0.7500 0.7500

---

No. 10
DFT (PBE) results for PrZn3 after structural relaxation.

- Symmetry: No. 62
- Energy of formation: -328 meV/atom
- Energy: -9.9 eV/f.u.
- Total moment: 0.000 μB per atom

Cell: 4.5689 6.7954 10.3477 Å, 90.00 90.00 90.00°
Fractional positions:
Zn1 0.7500 0.9654 0.6100
Pr1 0.7500 0.7199 0.3450
Zn2 0.2500 0.5346 0.1100
Zn3 0.7500 0.7742 0.0463
Zn4 0.7500 0.0895 0.8527
Zn5 0.2500 0.7258 0.5463
Zn6 0.7500 0.2742 0.4537
Zn7 0.7500 0.4654 0.8900
Pr2 0.7500 0.2199 0.1550
Pr3 0.2500 0.2801 0.6550
Zn8 0.2500 0.2258 0.9537
Pr4 0.2500 0.7801 0.8450
Zn9 0.2500 0.4105 0.3527
Zn10 0.7500 0.5895 0.6473
Zn11 0.2500 0.0346 0.3900
Zn12 0.2500 0.9105 0.1473

---

No. 11
DFT (PBE) results for ErLuHg after structural relaxation.

- Symmetry: No. 216
- Energy of formation: -123 meV/atom
- Energy: -9.8 eV/f.u.
- Energy relative to the lowest polymorph listed for this composition: 0.171 eV/atom
- Total moment: 0.001 μB per atom

Cell: 5.0209 5.0209 5.0209 Å, 60.00 60.00 60.00°
Fractional positions:
Er1 0.5000 0.5000 0.5000
Hg1 0.2500 0.2500 0.2500
Lu1 0.0000 0.0000 0.0000

---

No. 12
DFT (PBE) results for HfTiReCl2 after structural relaxation.

- Raw formation energy: 989 meV per atom
- Symmetry: No. 123
- Energy: -29.0 eV/f.u.
- Total moment: 0.395 μB per atom

Cell: 4.6781 5.2911 4.6781 Å, 90.00 90.00 90.00°
Last column: magnetic moment on the atom in μB.
Fractional positions:
Cl1 0.0000 0.0000 0.5000  0.00
Hf1 0.0000 0.5000 0.0000  0.13
Re1 0.0000 0.0000 0.0000  -0.14
Cl2 0.5000 0.0000 0.0000  -0.02
Ti1 0.5000 0.5000 0.5000  1.52

---

No. 13
DFT (PBE) results for ThInHg2 after structural relaxation.

- Symmetry: No. 2
- Energy of formation: -180 meV/atom
- Energy: -11.5 eV/f.u.
- Total moment: 0.000 μB per atom

Cell: 3.3949 6.2792 10.1038 Å, 96.06 99.42 90.24°
Fractional positions:
Th1 0.7115 0.7393 0.9905
Hg1 0.5776 0.0366 0.7398
Hg2 0.3315 0.0259 0.2354
Th2 0.9494 0.8203 0.4804
Hg3 0.3294 0.5337 0.2355
In1 0.4595 0.3219 0.4917
Hg4 0.0832 0.5229 0.7311
In2 0.2013 0.2376 0.9792

---

No. 14
DFT (PBE) results for NiPb3N after structural relaxation.

- Raw formation energy: 854 meV per atom
- Symmetry: No. 221
- Energy: -21.0 eV/f.u.
- Energy relative to the lowest polymorph listed for this composition: 0.000 eV/atom
- Total moment: 0.000 μB per atom

Cell: 4.9099 4.9099 4.9099 Å, 90.00 90.00 90.00°
Fractional positions:
Pb1 0.0000 0.0000 0.5000
N1 0.0000 0.0000 0.0000
Pb2 0.5000 0.0000 0.0000
Pb3 0.0000 0.5000 0.0000
Ni1 0.5000 0.5000 0.5000

---

No. 15
DFT (PBE) results for Tb2Zn16Ir after structural relaxation.

- Symmetry: No. 160
- Energy of formation: -256 meV/atom
- Energy: -43.4 eV/f.u.
- Total moment: 0.000 μB per atom

Cell: 6.7835 6.7835 6.7835 Å, 82.71 82.71 82.71°
Fractional positions:
Zn1 0.2873 0.9978 0.7094
Zn2 0.6488 0.1535 0.6488
Zn3 0.8376 0.3560 0.3560
Zn4 0.9960 0.5046 0.9960
Zn5 0.3560 0.8376 0.3560
Zn6 0.7094 0.9978 0.2873
Ir1 0.8999 0.8999 0.8999
Zn7 0.7094 0.2873 0.9978
Zn8 0.3560 0.3560 0.8376
Tb1 0.3391 0.3391 0.3391
Zn9 0.6488 0.6488 0.1535
Zn10 0.5046 0.9960 0.9960
Zn11 0.9960 0.9960 0.5046
Zn12 0.1018 0.1018 0.1018
Zn13 0.9978 0.2873 0.7094
Tb2 0.6728 0.6728 0.6728
Zn14 0.9978 0.7094 0.2873
Zn15 0.1535 0.6488 0.6488
Zn16 0.2873 0.7094 0.9978

---

No. 16
DFT (PBE) results for Cd3Cl3O after structural relaxation.

- Raw formation energy: -799 meV per atom
- Symmetry: No. 194
- Energy: -18.8 eV/f.u.
- Total moment: 0.000 μB per atom

Cell: 5.9340 8.6326 8.6326 Å, 119.98 90.00 90.00°
Fractional positions:
Cl1 0.7500 0.3242 0.1623
Cl2 0.2500 0.1620 0.3242
O1 0.2500 0.6667 0.3333
Cd1 0.7500 0.1912 0.3830
Cd2 0.7500 0.1916 0.8089
Cd3 0.2500 0.8084 0.1911
Cl3 0.2500 0.6758 0.8377
Cl4 0.7500 0.8380 0.6758
Cd4 0.2500 0.3830 0.1917
Cl5 0.2500 0.1621 0.8383
O2 0.7500 0.3333 0.6667
Cl6 0.7500 0.8379 0.1617
Cd5 0.7500 0.6170 0.8083
Cd6 0.2500 0.8088 0.6170

---

No. 17
DFT (PBE) results for HfBiF after structural relaxation.

- Raw formation energy: -1382 meV per atom
- Symmetry: No. 12
- Energy: -19.9 eV/f.u.
- Total moment: 0.000 μB per atom

Cell: 3.1561 6.1358 7.8147 Å, 61.54 78.35 75.10°
Fractional positions:
F1 0.7142 0.7056 0.8660
F2 0.2858 0.2944 0.1340
Bi1 0.9876 0.7458 0.2791
Hf1 0.2904 0.7673 0.6519
Bi2 0.0124 0.2542 0.7209
Hf2 0.7096 0.2327 0.3481

---

No. 18
DFT (PBE) results for NbB after structural relaxation.

- Symmetry: No. 69
- Energy of formation: -636 meV/atom
- Energy: -18.0 eV/f.u.
- Total moment: 0.000 μB per atom

Cell: 3.1569 5.3077 11.3832 Å, 90.00 90.00 90.00°
Fractional positions:
B1 0.0000 0.1646 0.5000
Nb1 0.0000 0.0000 0.8564
Nb2 0.5000 0.5000 0.1436
B2 0.5000 0.3354 0.5000
B3 0.5000 0.6646 0.5000
Nb3 0.0000 0.5000 0.6436
Nb4 0.5000 0.5000 0.8564
Nb5 0.5000 0.0000 0.6436
B4 0.0000 0.3354 0.0000
Nb6 0.0000 0.5000 0.3564
Nb7 0.0000 0.0000 0.1436
B5 0.5000 0.1646 0.0000
Nb8 0.5000 0.0000 0.3564
B6 0.0000 0.6646 0.0000
B7 0.0000 0.8354 0.5000
B8 0.5000 0.8354 0.0000

---

No. 19
DFT (PBE) results for BaSnPS6 after structural relaxation.

- Raw formation energy: -426 meV per atom
- Symmetry: No. 149
- Energy: -39.9 eV/f.u.
- Total moment: 0.086 μB per atom

Cell: 6.2715 6.2715 6.9641 Å, 90.00 90.00 60.00°
Last column: magnetic moment on the atom in μB.
Fractional positions:
Sn1 0.6666 0.6667 0.5000  0.00
S1 0.6014 0.0389 0.3008  0.08
S2 0.0389 0.3597 0.3008  0.08
P1 0.3333 0.3333 0.5000  0.00
S3 0.3596 0.0390 0.6992  0.08
S4 0.6014 0.3596 0.6992  0.08
S5 0.3596 0.6014 0.3008  0.08
Ba1 0.0000 0.0000 0.0000  0.00
S6 0.0389 0.6014 0.6991  0.08

---

No. 20
DFT (PBE) results for TbSc4Tl after structural relaxation.

- Symmetry: No. 36
- Energy of formation: 99 meV/atom
- Energy: -31.7 eV/f.u.
- Total moment: 0.000 μB per atom

Cell: 5.1304 6.3506 10.7073 Å, 90.00 103.86 90.00°
Fractional positions:
Sc1 0.4424 0.0137 0.8847
Sc2 0.7068 0.4888 0.4135
Sc3 0.5576 0.5137 0.1153
Tl1 0.5815 0.9779 0.1631
Sc4 0.2932 0.9888 0.5865
Sc5 0.8538 0.2352 0.7075
Tl2 0.4185 0.4779 0.8369
Sc6 0.1462 0.7352 0.2925
Tb1 0.1369 0.2327 0.2738
Tb2 0.8631 0.7327 0.7262
Sc7 0.2778 0.4851 0.5555
Sc8 0.7222 0.9851 0.4445

---

No. 21
DFT (PBE) results for Ta2TeRh2 after structural relaxation.

- Raw formation energy: -135 meV per atom
- Symmetry: No. 127
- Energy: -42.2 eV/f.u.
- Total moment: 0.000 μB per atom

Cell: 7.8731 7.8731 2.9465 Å, 90.00 90.00 90.00°
Fractional positions:
Te1 0.5000 0.5000 0.0000
Ta1 0.6491 0.8509 0.5000
Rh1 0.6396 0.1396 0.0000
Rh2 0.8604 0.6396 0.0000
Rh3 0.1396 0.3604 0.0000
Te2 0.0000 0.0000 0.0000
Rh4 0.3604 0.8604 0.0000
Ta2 0.3509 0.1491 0.5000
Ta3 0.1491 0.6491 0.5000
Ta4 0.8509 0.3509 0.5000

---

No. 22
DFT (PBE) results for Ac12La2Nd5 after structural relaxation.

- Symmetry: No. 12
- Energy of formation: 121 meV/atom
- Energy: -80.7 eV/f.u.
- Energy relative to the lowest polymorph listed for this composition: 0.000 eV/atom
- Total moment: 0.000 μB per atom

Cell: 9.1662 11.8402 9.5763 Å, 128.18 83.21 90.00°
Fractional positions:
Ac1 0.7127 0.4239 0.8477
Nd1 0.8776 0.6448 0.2896
Ac2 0.1961 0.9735 0.3580
Ac3 0.2873 0.5761 0.1523
Nd2 0.4806 0.2306 0.4612
Ac4 0.1254 0.8657 0.7314
Ac5 0.3889 0.1585 0.7806
Ac6 0.3889 0.6220 0.7806
Nd3 0.5194 0.7694 0.5388
Nd4 0.1224 0.3552 0.7104
Ac7 0.8039 0.0265 0.6420
Ac8 0.8746 0.1343 0.2686
Ac9 0.1961 0.3845 0.3580
Ac10 0.8039 0.6155 0.6420
La1 0.0000 0.7178 0.0000
Nd5 0.5000 0.0000 0.0000
La2 0.0000 0.2822 0.0000
Ac11 0.6111 0.8415 0.2194
Ac12 0.6111 0.3780 0.2194